No. 1
This record from Alexandria via LeMat-Bulk describes a geometry-optimized InAsIr2 structure. The functional is PBE.

a = 4.571 Å, b = 4.571 Å, c = 5.866 Å
α = 97.97°, β = 97.97°, γ = 38.17°
Fractional positions:
In: 0.000 0.000 0.000
As: 0.801 0.801 0.450
Ir: 0.250 0.250 0.766
Ir: 0.519 0.519 0.422

Properties
M_tot ... 0.0 μB per cell
Calculated volume ... 74.9 Å³/cell
Energy above the most stable polymorph in this dataset ... 0.000 eV/atom
ΔH_f (0 K) ... 0.06 eV/atom

---

No. 2
This record from Alexandria via LeMat-Bulk describes a geometry-optimized InAsIr structure. The functional is PBE.

a = 6.765 Å, b = 6.038 Å, c = 6.863 Å
α = 90.00°, β = 114.54°, γ = 90.00°
Fractional positions:
In: 0.133 0.130 0.384
In: 0.133 0.370 0.884
In: 0.867 0.630 0.116
In: 0.867 0.870 0.616
As: 0.345 0.621 0.665
As: 0.345 0.879 0.165
As: 0.655 0.121 0.835
As: 0.655 0.379 0.335
Ir: 0.306 0.523 0.306
Ir: 0.306 0.977 0.806
Ir: 0.694 0.023 0.194
Ir: 0.694 0.477 0.694

Properties
M_tot ... 0.0 μB per cell
Calculated volume ... 255.0 Å³/cell
ΔH_f (0 K) ... -0.15 eV/atom

---

No. 3
This record from Alexandria via LeMat-Bulk describes a geometry-optimized InAsIr2 structure. The functional is PBE.

a = 4.717 Å, b = 4.717 Å, c = 4.717 Å
α = 126.22°, β = 126.22°, γ = 79.52°
Fractional positions:
In: 0.000 0.000 0.000
As: 0.500 0.500 0.000
Ir: 0.250 0.750 0.500
Ir: 0.750 0.250 0.500

Properties
M_tot ... 0.0 μB per cell
Calculated volume ... 66.0 Å³/cell
Energy above the most stable polymorph in this dataset ... 0.111 eV/atom
ΔH_f (0 K) ... 0.17 eV/atom

---

No. 4
This record from Alexandria via LeMat-Bulk describes a geometry-optimized InAs2Ir structure. The functional is PBE.

a = 5.003 Å, b = 5.003 Å, c = 5.003 Å
α = 129.14°, β = 129.14°, γ = 74.79°
Fractional positions:
In: 0.000 0.000 0.000
As: 0.500 0.500 0.000
As: 0.750 0.250 0.500
Ir: 0.250 0.750 0.500

Properties
M_tot ... 0.0 μB per cell
Calculated volume ... 73.4 Å³/cell
ΔH_f (0 K) ... 0.34 eV/atom

---

No. 5
This record from Alexandria via LeMat-Bulk describes a geometry-optimized In2AsIr structure. The functional is PBE.

a = 8.211 Å, b = 8.211 Å, c = 8.211 Å
α = 25.68°, β = 25.68°, γ = 25.68°
Fractional positions:
In: 0.000 0.000 0.000
In: 0.232 0.232 0.232
As: 0.769 0.769 0.769
Ir: 0.486 0.486 0.486

Properties
M_tot ... 0.0 μB per cell
Calculated volume ... 91.5 Å³/cell
ΔH_f (0 K) ... -0.03 eV/atom

---

No. 6
This record from Alexandria via LeMat-Bulk describes a geometry-optimized InAsIr2 structure. The functional is PBE.

a = 7.223 Å, b = 7.223 Å, c = 7.223 Å
α = 156.25°, β = 151.80°, γ = 37.19°
Fractional positions:
In: 0.000 0.000 0.000
As: 0.759 0.259 0.500
Ir: 0.334 0.834 0.500
Ir: 0.615 0.615 0.000

Properties
M_tot ... 0.0 μB per cell
Calculated volume ... 71.6 Å³/cell
Energy above the most stable polymorph in this dataset ... 0.016 eV/atom
ΔH_f (0 K) ... 0.08 eV/atom

---

No. 7
This record from Alexandria via LeMat-Bulk describes a geometry-optimized In2AsIr structure. The functional is PBE.

a = 4.020 Å, b = 4.169 Å, c = 5.260 Å
α = 90.00°, β = 112.13°, γ = 90.00°
Fractional positions:
In: 0.000 0.000 0.000
In: 0.288 0.500 0.584
As: 0.712 0.000 0.437
Ir: 0.577 0.500 0.147

Properties
M_tot ... 0.0 μB per cell
Calculated volume ... 81.7 Å³/cell
ΔH_f (0 K) ... -0.05 eV/atom

---

No. 8
This record from Alexandria via LeMat-Bulk describes a geometry-optimized In2AsIr2 structure. The functional is PBE.

a = 6.968 Å, b = 6.968 Å, c = 6.968 Å
α = 147.16°, β = 147.16°, γ = 47.12°
Fractional positions:
In: 0.250 0.750 0.500
In: 0.750 0.250 0.500
As: 0.000 0.000 0.000
Ir: 0.400 0.400 0.000
Ir: 0.600 0.600 0.000

Properties
M_tot ... 0.0 μB per cell
Calculated volume ... 99.1 Å³/cell
Energy above the most stable polymorph in this dataset ... 0.300 eV/atom
ΔH_f (0 K) ... 0.39 eV/atom

---

No. 9
This record from Alexandria via LeMat-Bulk describes a geometry-optimized In2AsIr structure. The functional is PBE.

a = 3.095 Å, b = 3.095 Å, c = 8.280 Å
α = 90.00°, β = 90.00°, γ = 90.00°
Fractional positions:
In: 0.000 0.000 0.216
In: 0.000 0.000 0.784
As: 0.500 0.500 0.500
Ir: 0.500 0.500 0.000

Properties
M_tot ... 0.0 μB per cell
Calculated volume ... 79.3 Å³/cell
ΔH_f (0 K) ... 0.13 eV/atom

---

No. 10
This record from Alexandria via LeMat-Bulk describes a geometry-optimized In2AsIr2 structure. The functional is PBE.

a = 8.136 Å, b = 8.136 Å, c = 8.136 Å
α = 154.03°, β = 154.03°, γ = 37.06°
Fractional positions:
In: 0.107 0.107 0.000
In: 0.893 0.893 0.000
As: 0.500 0.500 0.000
Ir: 0.250 0.750 0.500
Ir: 0.750 0.250 0.500

Properties
M_tot ... 0.0 μB per cell
Calculated volume ... 103.2 Å³/cell
Energy above the most stable polymorph in this dataset ... 0.283 eV/atom
ΔH_f (0 K) ... 0.37 eV/atom

---

No. 11
This record from Alexandria via LeMat-Bulk describes a geometry-optimized InAs2Ir structure. The functional is PBE.

a = 3.029 Å, b = 3.029 Å, c = 8.886 Å
α = 90.00°, β = 90.00°, γ = 90.00°
Fractional positions:
In: 0.000 0.000 0.000
As: 0.500 0.500 0.319
As: 0.500 0.500 0.681
Ir: 0.000 0.000 0.500

Properties
M_tot ... 0.0 μB per cell
Calculated volume ... 81.5 Å³/cell
ΔH_f (0 K) ... 0.06 eV/atom

---

No. 12
This record from Alexandria via LeMat-Bulk describes a geometry-optimized InAsIr2 structure. The functional is PBE.

a = 4.303 Å, b = 4.303 Å, c = 3.575 Å
α = 90.00°, β = 90.00°, γ = 90.00°
Fractional positions:
In: 0.000 0.000 0.000
As: 0.500 0.500 0.000
Ir: 0.000 0.500 0.500
Ir: 0.500 0.000 0.500

Properties
M_tot ... 0.0 μB per cell
Calculated volume ... 66.2 Å³/cell
Energy above the most stable polymorph in this dataset ... 0.109 eV/atom
ΔH_f (0 K) ... 0.17 eV/atom